Version w
Compound: Nd5Ho2In
Source: the Alexandria database
Functional: PBE
Structure: optimized geometry

a = 7.5934 Å, b = 7.5934 Å, c = 8.8501 Å
α = 90.00°, β = 90.00°, γ = 90.00°
With the nearest neighbours (Å) after each atom.
Space group I4mm (No. 107)
Asymmetric unit:
Nd 0.0000 0.0000 0.0000  8 Nd 3.41-3.63, 1 In 3.72
Nd 0.2271 0.2271 0.3033  4 Nd 3.41-3.63, 2 In 3.45-3.54, 4 Ho 3.48-3.49
Ho 0.0000 0.5000 0.0528  10 Nd 3.48-3.83, 2 In 3.80
In 0.0000 0.0000 0.5795  9 Nd 3.45-3.72, 4 Ho 3.80


Version x
Compound: Nd5Ho2In
Source: the Alexandria database
Functional: PBE
Structure: optimized geometry

a = 5.0096 Å, b = 5.0096 Å, c = 20.5132 Å
α = 90.00°, β = 90.00°, γ = 90.00°
With the nearest neighbours (Å) after each atom.
Space group I4/mmm (No. 139)
Asymmetric unit:
Nd 0.0000 0.0000 0.0000  4 In 3.54, 8 Nd 3.56
Nd 0.0000 0.5000 0.1232  6 Nd 3.54-3.56, 2 In 3.56, 4 Ho 3.59-3.63
Ho 0.0000 0.0000 0.2486  4 Ho 3.54, 8 Nd 3.59-3.63
In 0.0000 0.0000 0.5000  12 Nd 3.54-3.56


Decreasing stability: version x, version w


Version w
Compound: NdHoIn4
Source: the Alexandria database
Functional: PBE
Structure: optimized geometry

a = 10.4497 Å, b = 18.1614 Å, c = 3.4911 Å
α = 90.00°, β = 90.00°, γ = 90.00°
With the nearest neighbours (Å) after each atom.
Space group Pbam (No. 55)
Asymmetric unit:
Nd 0.0795 0.1349 0.0000  10 In 3.36-3.58, 2 Nd 3.49
Ho 0.1181 0.4262 0.0000  10 In 3.23-3.34, 2 Ho 3.49
In 0.0156 0.2887 0.5000  3 In 2.89-2.97, 2 Ho 3.23
In 0.1306 0.9716 0.5000  3 In 2.92-3.05, 2 Ho 3.26
In 0.1537 0.5802 0.5000  2 In 2.97-2.99, 2 Ho 3.32
In 0.2029 0.8089 0.5000  3 In 2.89-3.05


Version x
Compound: NdHoIn4
Source: the Alexandria database
Functional: PBE
Structure: optimized geometry

a = 8.5392 Å, b = 8.5392 Å, c = 8.5392 Å
α = 90.00°, β = 90.00°, γ = 90.00°
With the nearest neighbours (Å) after each atom.
Space group F-43m (No. 216)
Asymmetric unit:
Nd 0.0000 0.0000 0.0000  12 In 3.54, 4 Ho 3.70
Ho 0.2500 0.2500 0.7500  12 In 3.54, 4 Nd 3.70
In 0.1249 0.1249 0.3751  6 In 3.02


Decreasing stability: version x, version w


Version w
Compound: Nd12Ho6In
Source: the Alexandria database
Functional: PBE
Structure: optimized geometry

a = 13.1877 Å, b = 13.1877 Å, c = 12.8770 Å
α = 90.00°, β = 90.00°, γ = 120.00°
With the nearest neighbours (Å) after each atom.
Space group R-3 (No. 148, hexagonal axes)
Asymmetric unit:
Nd 0.0008 0.7412 0.0004  4 Ho 3.41-3.50, 1 In 3.42, 6 Nd 3.42-3.70
Nd 0.0616 0.5305 0.1100  3 Nd 3.16-3.43
Ho 0.0886 0.9098 0.7742  4 Nd 3.41-3.50, 2 Ho 3.54, 1 In 3.55
In 0.0000 0.0000 0.0000  6 Nd 3.42, 6 Ho 3.55


Version x
Compound: Nd12Ho6In
Source: the Alexandria database
Functional: PBE
Structure: optimized geometry

a = 12.0665 Å, b = 12.0665 Å, c = 15.3129 Å
α = 90.00°, β = 90.00°, γ = 120.00°
With the nearest neighbours (Å) after each atom.
Space group R-3 (No. 148, hexagonal axes)
Asymmetric unit:
Nd 0.0072 0.1772 0.3134  4 Ho 3.50-3.76, 1 In 3.54, 5 Nd 3.55-3.86
Nd 0.0474 0.8467 0.9152  3 Ho 3.36-3.58, 4 Nd 3.40-3.69
Ho 0.0252 0.4349 0.1906  7 Nd 3.36-3.76, 1 In 3.37, 2 Ho 3.43
In 0.0000 0.0000 0.5000  6 Ho 3.37, 6 Nd 3.54


Decreasing stability: version x, version w